1.
# PBE-GGA RbNaO, relaxed
data_RbNaO
_cell_length_a 4.949
_cell_length_b 3.935
_cell_length_c 3.935
_cell_angle_alpha 120.00
_cell_angle_beta 90.00
_cell_angle_gamma 90.00
_symmetry_space_group_name_H-M 'P 1'
_symmetry_Int_Tables_number 1
_symmetry_space_group_name_Hall 'P 1'
loop_
_atom_site_label
_atom_site_fract_x
_atom_site_fract_y
_atom_site_fract_z
_atom_site_occupancy
O1 0.076 0.000 0.000 1
Na1 0.185 0.333 0.667 1
Rb1 0.739 0.667 0.333 1
# Crystal system: trigonal

---

2.
# PBE-GGA Rb3NaO, relaxed
data_Rb3NaO
_cell_length_a 5.887
_cell_length_b 5.887
_cell_length_c 5.887
_cell_angle_alpha 90.00
_cell_angle_beta 90.00
_cell_angle_gamma 90.00
_symmetry_space_group_name_H-M 'P 1'
_symmetry_Int_Tables_number 1
_symmetry_space_group_name_Hall 'P 1'
loop_
_atom_site_label
_atom_site_fract_x
_atom_site_fract_y
_atom_site_fract_z
_atom_site_occupancy
Na1 0.500 0.500 0.500 1
Rb1 0.500 0.000 0.000 1
Rb2 0.000 0.500 0.000 1
Rb3 0.000 0.000 0.500 1
O1 0.000 0.000 0.000 1
# Offset from the most stable computed form: 0.053 eV/atom
# Crystal system: cubic

---

3.
# PBE-GGA Rb3NaO2, relaxed
data_Rb3NaO2
_cell_length_a 4.117
_cell_length_b 9.192
_cell_length_c 10.342
_cell_angle_alpha 92.31
_cell_angle_beta 78.52
_cell_angle_gamma 77.06
_symmetry_space_group_name_H-M 'P 1'
_symmetry_Int_Tables_number 1
_symmetry_space_group_name_Hall 'P 1'
loop_
_atom_site_label
_atom_site_fract_x
_atom_site_fract_y
_atom_site_fract_z
_atom_site_occupancy
O1 0.640 0.039 0.682 1
O2 0.360 0.961 0.318 1
O3 0.130 0.709 0.032 1
O4 0.870 0.291 0.968 1
Na1 0.539 0.780 0.141 1
Na2 0.461 0.220 0.859 1
Rb1 0.223 0.426 0.128 1
Rb2 0.117 0.938 0.827 1
Rb3 0.777 0.574 0.872 1
Rb4 0.854 0.839 0.452 1
Rb5 0.146 0.161 0.548 1
Rb6 0.883 0.062 0.173 1
# Offset from the most stable computed form: 0.000 eV/atom
# Crystal system: monoclinic

---

4.
# PBE-GGA Rb3Na5O2, relaxed
data_Rb3Na5O2
_cell_length_a 7.352
_cell_length_b 10.588
_cell_length_c 10.588
_cell_angle_alpha 70.67
_cell_angle_beta 69.68
_cell_angle_gamma 69.68
_symmetry_space_group_name_H-M 'P 1'
_symmetry_Int_Tables_number 1
_symmetry_space_group_name_Hall 'P 1'
loop_
_atom_site_label
_atom_site_fract_x
_atom_site_fract_y
_atom_site_fract_z
_atom_site_occupancy
O1 0.646 0.938 0.769 1
O2 0.354 0.062 0.231 1
O3 0.854 0.231 0.062 1
O4 0.146 0.769 0.938 1
Rb1 0.310 0.502 0.878 1
Rb2 0.750 0.000 0.000 1
Rb3 0.190 0.122 0.498 1
Rb4 0.810 0.878 0.502 1
Rb5 0.250 0.000 0.000 1
Rb6 0.690 0.498 0.122 1
Na1 0.915 0.334 0.836 1
Na2 0.250 0.500 0.500 1
Na3 0.552 0.198 0.198 1
Na4 0.948 0.802 0.802 1
Na5 0.750 0.500 0.500 1
Na6 0.085 0.666 0.164 1
Na7 0.448 0.802 0.802 1
Na8 0.585 0.164 0.666 1
Na9 0.415 0.836 0.334 1
Na10 0.052 0.198 0.198 1
# Crystal system: orthorhombic

---

5.
# PBE-GGA Rb8NaO2, relaxed
data_Rb8NaO2
_cell_length_a 5.718
_cell_length_b 8.673
_cell_length_c 12.710
_cell_angle_alpha 70.05
_cell_angle_beta 93.37
_cell_angle_gamma 99.91
_symmetry_space_group_name_H-M 'P 1'
_symmetry_Int_Tables_number 1
_symmetry_space_group_name_Hall 'P 1'
loop_
_atom_site_label
_atom_site_fract_x
_atom_site_fract_y
_atom_site_fract_z
_atom_site_occupancy
Rb1 0.163 0.312 0.000 1
Rb2 0.837 0.688 0.000 1
Rb3 0.059 0.611 0.353 1
Rb4 0.500 0.711 0.578 1
Rb5 0.941 0.389 0.647 1
Rb6 0.500 0.289 0.422 1
Rb7 0.941 0.036 0.353 1
Rb8 0.059 0.964 0.647 1
O1 0.000 0.262 0.476 1
O2 0.000 0.738 0.524 1
Na1 0.500 0.000 0.000 1
# Crystal system: monoclinic

---

6.
# PBE-GGA Rb5NaO3, relaxed
data_Rb5NaO3
_cell_length_a 8.003
_cell_length_b 8.003
_cell_length_c 10.359
_cell_angle_alpha 88.99
_cell_angle_beta 122.39
_cell_angle_gamma 109.24
_symmetry_space_group_name_H-M 'P 1'
_symmetry_Int_Tables_number 1
_symmetry_space_group_name_Hall 'P 1'
loop_
_atom_site_label
_atom_site_fract_x
_atom_site_fract_y
_atom_site_fract_z
_atom_site_occupancy
O1 0.500 0.000 0.500 1
O2 0.870 0.737 0.607 1
O3 0.484 0.663 0.147 1
O4 0.130 0.263 0.393 1
O5 0.000 0.000 0.000 1
O6 0.516 0.337 0.853 1
Rb1 0.845 0.222 0.067 1
Rb2 0.796 0.566 0.363 1
Rb3 0.204 0.434 0.637 1
Rb4 0.301 0.301 0.000 1
Rb5 0.370 0.635 0.363 1
Rb6 0.271 0.007 0.637 1
Rb7 0.699 0.699 0.000 1
Rb8 0.729 0.993 0.363 1
Rb9 0.630 0.365 0.637 1
Rb10 0.155 0.778 0.933 1
Na1 0.780 0.928 0.709 1
Na2 0.220 0.072 0.291 1
# Crystal system: monoclinic

---

7.
# PBE-GGA Rb12Na3O5, relaxed
data_Rb12Na3O5
_cell_length_a 16.490
_cell_length_b 16.490
_cell_length_c 16.490
_cell_angle_alpha 109.47
_cell_angle_beta 109.47
_cell_angle_gamma 109.47
_symmetry_space_group_name_H-M 'P 1'
_symmetry_Int_Tables_number 1
_symmetry_space_group_name_Hall 'P 1'
loop_
_atom_site_label
_atom_site_fract_x
_atom_site_fract_y
_atom_site_fract_z
_atom_site_occupancy
O1 0.625 0.875 0.250 1
O2 0.750 0.125 0.875 1
O3 0.375 0.125 0.750 1
O4 0.250 0.375 0.625 1
O5 0.000 0.000 0.500 1
O6 0.250 0.875 0.125 1
O7 0.375 0.250 0.125 1
O8 0.125 0.375 0.250 1
O9 0.750 0.625 0.375 1
O10 0.875 0.250 0.625 1
O11 0.125 0.750 0.375 1
O12 0.000 0.500 0.000 1
O13 0.500 0.500 0.000 1
O14 0.500 0.500 0.500 1
O15 0.000 0.500 0.500 1
O16 0.500 0.000 0.500 1
O17 0.625 0.750 0.875 1
O18 0.000 0.000 0.000 1
O19 0.500 0.000 0.000 1
O20 0.875 0.625 0.750 1
Rb1 0.418 0.319 0.314 1
Rb2 0.104 0.918 0.099 1
Rb3 0.995 0.396 0.814 1
Rb4 0.181 0.686 0.082 1
Rb5 0.896 0.082 0.901 1
Rb6 0.901 0.582 0.896 1
Rb7 0.896 0.814 0.495 1
Rb8 0.396 0.995 0.314 1
Rb9 0.599 0.604 0.918 1
Rb10 0.995 0.599 0.681 1
Rb11 0.901 0.319 0.505 1
Rb12 0.686 0.505 0.604 1
Rb13 0.599 0.995 0.181 1
Rb14 0.181 0.495 0.599 1
Rb15 0.819 0.314 0.918 1
Rb16 0.082 0.186 0.181 1
Rb17 0.495 0.181 0.099 1
Rb18 0.505 0.819 0.901 1
Rb19 0.314 0.819 0.418 1
Rb20 0.681 0.099 0.995 1
Rb21 0.814 0.896 0.995 1
Rb22 0.918 0.814 0.819 1
Rb23 0.099 0.418 0.104 1
Rb24 0.186 0.104 0.005 1
Rb25 0.681 0.582 0.186 1
Rb26 0.082 0.896 0.401 1
Rb27 0.319 0.901 0.005 1
Rb28 0.604 0.599 0.418 1
Rb29 0.186 0.082 0.681 1
Rb30 0.814 0.918 0.319 1
Rb31 0.314 0.495 0.396 1
Rb32 0.918 0.104 0.599 1
Rb33 0.401 0.005 0.819 1
Rb34 0.686 0.181 0.582 1
Rb35 0.418 0.099 0.604 1
Rb36 0.005 0.604 0.186 1
Rb37 0.319 0.418 0.814 1
Rb38 0.495 0.314 0.896 1
Rb39 0.401 0.396 0.082 1
Rb40 0.582 0.901 0.396 1
Rb41 0.582 0.681 0.686 1
Rb42 0.396 0.401 0.582 1
Rb43 0.099 0.681 0.495 1
Rb44 0.505 0.686 0.104 1
Rb45 0.104 0.186 0.505 1
Rb46 0.819 0.505 0.401 1
Rb47 0.005 0.401 0.319 1
Rb48 0.604 0.005 0.686 1
Na1 0.625 0.250 0.375 1
Na2 0.750 0.875 0.625 1
Na3 0.625 0.375 0.750 1
Na4 0.250 0.125 0.375 1
Na5 0.875 0.750 0.125 1
Na6 0.125 0.250 0.875 1
Na7 0.375 0.750 0.625 1
Na8 0.750 0.375 0.125 1
Na9 0.875 0.125 0.250 1
Na10 0.250 0.625 0.875 1
Na11 0.375 0.625 0.250 1
Na12 0.125 0.875 0.750 1
# Crystal system: cubic

---

8.
# PBE-GGA RbNaO4, relaxed
data_RbNaO4
_cell_length_a 6.763
_cell_length_b 6.763
_cell_length_c 4.513
_cell_angle_alpha 99.32
_cell_angle_beta 93.97
_cell_angle_gamma 147.74
_symmetry_space_group_name_H-M 'P 1'
_symmetry_Int_Tables_number 1
_symmetry_space_group_name_Hall 'P 1'
loop_
_atom_site_label
_atom_site_fract_x
_atom_site_fract_y
_atom_site_fract_z
_atom_site_occupancy
O1 0.589 0.243 0.832 1
O2 0.603 0.847 0.450 1
O3 0.411 0.757 0.168 1
O4 0.397 0.153 0.550 1
Na1 0.000 0.500 0.500 1
Rb1 0.000 0.000 0.000 1
# Crystal system: monoclinic

---

9.
# PBE-GGA Rb3NaO2, relaxed
data_Rb3NaO2
_cell_length_a 4.294
_cell_length_b 8.200
_cell_length_c 10.303
_cell_angle_alpha 65.02
_cell_angle_beta 77.97
_cell_angle_gamma 74.82
_symmetry_space_group_name_H-M 'P 1'
_symmetry_Int_Tables_number 1
_symmetry_space_group_name_Hall 'P 1'
loop_
_atom_site_label
_atom_site_fract_x
_atom_site_fract_y
_atom_site_fract_z
_atom_site_occupancy
O1 0.864 0.454 0.819 1
O2 0.600 0.233 0.566 1
O3 0.400 0.767 0.434 1
O4 0.136 0.546 0.181 1
Na1 0.566 0.512 0.356 1
Na2 0.434 0.488 0.644 1
Rb1 0.049 0.154 0.748 1
Rb2 0.665 0.670 0.999 1
Rb3 0.796 0.807 0.602 1
Rb4 0.951 0.846 0.252 1
Rb5 0.335 0.330 0.001 1
Rb6 0.204 0.193 0.398 1
# Offset from the most stable computed form: 0.005 eV/atom
# Crystal system: monoclinic

---

10.
# PBE-GGA Rb2Na4O, relaxed
data_Rb2Na4O
_cell_length_a 4.669
_cell_length_b 4.669
_cell_length_c 14.726
_cell_angle_alpha 80.88
_cell_angle_beta 80.88
_cell_angle_gamma 90.00
_symmetry_space_group_name_H-M 'P 1'
_symmetry_Int_Tables_number 1
_symmetry_space_group_name_Hall 'P 1'
loop_
_atom_site_label
_atom_site_fract_x
_atom_site_fract_y
_atom_site_fract_z
_atom_site_occupancy
Na1 0.500 0.000 0.000 1
Na2 0.920 0.920 0.160 1
Na3 0.000 0.500 0.000 1
Na4 0.080 0.080 0.840 1
Rb1 0.319 0.319 0.362 1
Rb2 0.681 0.681 0.638 1
O1 0.000 0.000 0.000 1
# Crystal system: tetragonal

---

11.
# PBE-GGA Rb2NaReO4, relaxed
data_Rb2NaReO4
_cell_length_a 5.933
_cell_length_b 5.933
_cell_length_c 5.933
_cell_angle_alpha 98.36
_cell_angle_beta 115.30
_cell_angle_gamma 115.30
_symmetry_space_group_name_H-M 'P 1'
_symmetry_Int_Tables_number 1
_symmetry_space_group_name_Hall 'P 1'
loop_
_atom_site_label
_atom_site_fract_x
_atom_site_fract_y
_atom_site_fract_z
_atom_site_occupancy
Re1 0.000 0.500 0.500 1
Rb1 0.000 0.000 0.000 1
Rb2 0.500 0.750 0.250 1
O1 0.381 0.806 0.711 1
O2 0.905 0.575 0.194 1
O3 0.095 0.289 0.670 1
O4 0.619 0.330 0.425 1
Na1 0.500 0.250 0.750 1
# Crystal system: tetragonal

---

12.
# PBE-GGA Rb3NaRe2O9, relaxed
data_Rb3NaRe2O9
_cell_length_a 5.857
_cell_length_b 5.857
_cell_length_c 7.413
_cell_angle_alpha 90.00
_cell_angle_beta 90.00
_cell_angle_gamma 120.00
_symmetry_space_group_name_H-M 'P 1'
_symmetry_Int_Tables_number 1
_symmetry_space_group_name_Hall 'P 1'
loop_
_atom_site_label
_atom_site_fract_x
_atom_site_fract_y
_atom_site_fract_z
_atom_site_occupancy
Rb1 0.667 0.333 0.338 1
Rb2 0.333 0.667 0.662 1
Rb3 0.000 0.000 0.000 1
O1 0.366 0.183 0.706 1
O2 0.500 0.000 0.000 1
O3 0.817 0.634 0.706 1
O4 0.183 0.817 0.294 1
O5 0.817 0.183 0.706 1
O6 0.500 0.500 0.000 1
O7 0.183 0.366 0.294 1
O8 0.634 0.817 0.294 1
O9 0.000 0.500 0.000 1
Re1 0.333 0.667 0.164 1
Re2 0.667 0.333 0.836 1
Na1 0.000 0.000 0.500 1
# Offset from the most stable computed form: 0.098 eV/atom
# Crystal system: trigonal

---

13.
# PBE-GGA Rb3NaRe2O9, relaxed
data_Rb3NaRe2O9
_cell_length_a 6.272
_cell_length_b 6.272
_cell_length_c 14.639
_cell_angle_alpha 90.00
_cell_angle_beta 90.00
_cell_angle_gamma 120.00
_symmetry_space_group_name_H-M 'P 1'
_symmetry_Int_Tables_number 1
_symmetry_space_group_name_Hall 'P 1'
loop_
_atom_site_label
_atom_site_fract_x
_atom_site_fract_y
_atom_site_fract_z
_atom_site_occupancy
Rb1 0.000 0.000 0.250 1
Rb2 0.667 0.333 0.889 1
Rb3 0.000 0.000 0.750 1
Rb4 0.333 0.667 0.389 1
Rb5 0.333 0.667 0.111 1
Rb6 0.667 0.333 0.611 1
O1 0.186 0.814 0.594 1
O2 0.931 0.466 0.250 1
O3 0.069 0.534 0.750 1
O4 0.186 0.373 0.594 1
O5 0.814 0.186 0.094 1
O6 0.627 0.814 0.906 1
O7 0.186 0.373 0.906 1
O8 0.534 0.069 0.250 1
O9 0.814 0.627 0.406 1
O10 0.186 0.814 0.906 1
O11 0.534 0.466 0.250 1
O12 0.627 0.814 0.594 1
O13 0.373 0.186 0.406 1
O14 0.814 0.627 0.094 1
O15 0.466 0.534 0.750 1
O16 0.814 0.186 0.406 1
O17 0.373 0.186 0.094 1
O18 0.466 0.931 0.750 1
Re1 0.333 0.667 0.650 1
Re2 0.333 0.667 0.850 1
Re3 0.667 0.333 0.350 1
Re4 0.667 0.333 0.150 1
Na1 0.000 0.000 0.000 1
Na2 0.000 0.000 0.500 1
# Offset from the most stable computed form: 0.000 eV/atom
# Crystal system: hexagonal

---

14.
# PBE-GGA Rb2Na2ReO6, relaxed
data_Rb2Na2ReO6
_cell_length_a 5.828
_cell_length_b 5.828
_cell_length_c 6.756
_cell_angle_alpha 100.35
_cell_angle_beta 100.35
_cell_angle_gamma 117.03
_symmetry_space_group_name_H-M 'P 1'
_symmetry_Int_Tables_number 1
_symmetry_space_group_name_Hall 'P 1'
loop_
_atom_site_label
_atom_site_fract_x
_atom_site_fract_y
_atom_site_fract_z
_atom_site_occupancy
O1 0.672 0.945 0.326 1
O2 0.803 0.803 0.666 1
O3 0.328 0.055 0.674 1
O4 0.945 0.672 0.326 1
O5 0.197 0.197 0.334 1
O6 0.055 0.328 0.674 1
Na1 0.342 0.658 0.500 1
Na2 0.658 0.342 0.500 1
Rb1 0.179 0.821 0.000 1
Rb2 0.821 0.179 0.000 1
Re1 0.000 0.000 0.500 1
# Crystal system: monoclinic

---

15.
# PBE-GGA Rb3Na2ReO6, relaxed
data_Rb3Na2ReO6
_cell_length_a 6.055
_cell_length_b 6.055
_cell_length_c 6.495
_cell_angle_alpha 98.64
_cell_angle_beta 98.64
_cell_angle_gamma 120.06
_symmetry_space_group_name_H-M 'P 1'
_symmetry_Int_Tables_number 1
_symmetry_space_group_name_Hall 'P 1'
loop_
_atom_site_label
_atom_site_fract_x
_atom_site_fract_y
_atom_site_fract_z
_atom_site_occupancy
Na1 0.666 0.334 0.000 1
Na2 0.334 0.666 0.000 1
Rb1 0.175 0.825 0.500 1
Rb2 0.825 0.175 0.500 1
Rb3 0.500 0.500 0.500 1
O1 0.940 0.678 0.826 1
O2 0.322 0.060 0.174 1
O3 0.199 0.199 0.817 1
O4 0.801 0.801 0.183 1
O5 0.060 0.322 0.174 1
O6 0.678 0.940 0.826 1
Re1 0.000 0.000 0.000 1
# Crystal system: monoclinic

---

16.
# PBE-GGA Rb2NaReO6, relaxed
data_Rb2NaReO6
_cell_length_a 5.996
_cell_length_b 6.381
_cell_length_c 6.381
_cell_angle_alpha 120.00
_cell_angle_beta 90.00
_cell_angle_gamma 90.00
_symmetry_space_group_name_H-M 'P 1'
_symmetry_Int_Tables_number 1
_symmetry_space_group_name_Hall 'P 1'
loop_
_atom_site_label
_atom_site_fract_x
_atom_site_fract_y
_atom_site_fract_z
_atom_site_occupancy
Rb1 0.164 0.333 0.667 1
Rb2 0.836 0.667 0.333 1
Re1 0.000 0.000 0.000 1
O1 0.185 0.861 0.139 1
O2 0.815 0.723 0.861 1
O3 0.185 0.861 0.723 1
O4 0.815 0.139 0.277 1
O5 0.815 0.139 0.861 1
O6 0.185 0.277 0.139 1
Na1 0.500 0.000 0.000 1
# Crystal system: trigonal

---

17.
# PBE-GGA RbNa2ReO4, relaxed
data_RbNa2ReO4
_cell_length_a 7.097
_cell_length_b 7.097
_cell_length_c 8.287
_cell_angle_alpha 125.65
_cell_angle_beta 125.65
_cell_angle_gamma 72.06
_symmetry_space_group_name_H-M 'P 1'
_symmetry_Int_Tables_number 1
_symmetry_space_group_name_Hall 'P 1'
loop_
_atom_site_label
_atom_site_fract_x
_atom_site_fract_y
_atom_site_fract_z
_atom_site_occupancy
Na1 0.000 0.000 0.500 1
Na2 0.500 0.500 0.000 1
Na3 0.500 0.000 0.500 1
Na4 0.500 0.000 0.000 1
O1 0.261 0.822 0.042 1
O2 0.678 0.239 0.458 1
O3 0.501 0.501 0.278 1
O4 0.322 0.761 0.542 1
O5 0.999 0.999 0.222 1
O6 0.739 0.178 0.958 1
O7 0.001 0.001 0.778 1
O8 0.499 0.499 0.722 1
Re1 0.000 0.000 0.000 1
Re2 0.500 0.500 0.500 1
Rb1 0.000 0.500 0.000 1
Rb2 0.000 0.500 0.500 1
# Crystal system: monoclinic

---

18.
# PBE-GGA RbNaReO4, relaxed
data_RbNaReO4
_cell_length_a 6.316
_cell_length_b 6.316
_cell_length_c 6.062
_cell_angle_alpha 121.39
_cell_angle_beta 121.39
_cell_angle_gamma 90.00
_symmetry_space_group_name_H-M 'P 1'
_symmetry_Int_Tables_number 1
_symmetry_space_group_name_Hall 'P 1'
loop_
_atom_site_label
_atom_site_fract_x
_atom_site_fract_y
_atom_site_fract_z
_atom_site_occupancy
O1 0.481 0.632 0.700 1
O2 0.368 0.781 0.300 1
O3 0.219 0.068 0.700 1
O4 0.932 0.519 0.300 1
Rb1 0.000 0.000 0.000 1
Na1 0.500 0.500 0.000 1
Re1 0.250 0.750 0.500 1
# Crystal system: tetragonal

---

Record order is preserved below.
Uncorrected formation energy: -22.726; -11.186; -22.113; -13.336; -9.985; -20.985; -12.673; -18.223; -22.004; -10.564; -37.438; -39.609; -41.866; -35.209; -36.853; -30.734; -34.435; -39.125 kcal/mol of atoms